(1)
The following is a PBE-GGA calculation of a relaxed Zr2CuAs crystal, from Alexandria via LeMat-Bulk.

Final energy: -6.86 eV/atom
Space-group type: I-4m2
Energy relative to the elements: -1.6 eV/f.u.
Spin magnetization: 0.00 μB/cell
DOS at the Fermi energy: 3.88 states/eV/cell

Cell lengths 5.497, 5.497, 5.497 Å; angles 138.04, 138.04, 60.85 degrees
Fractional positions:
Cu (0.750, 0.250, 0.500)
Zr (0.000, 0.000, 0.000)
Zr (0.250, 0.750, 0.500)
As (0.500, 0.500, 0.000)



(2)
The following is a PBE-GGA calculation of a relaxed NiGeMo2 crystal, from Alexandria via LeMat-Bulk.

Final energy: -7.60 eV/atom
Space-group type: I-42d
Energy relative to the elements: 1.7 eV/f.u.
Spin magnetization: 0.00 μB/cell
DOS at the Fermi energy: 5.39 states/eV/cell

Cell lengths 6.821, 6.821, 5.500 Å; angles 51.68, 51.68, 90.00 degrees
Fractional positions:
Mo (0.375, 0.382, 0.750)
Mo (0.132, 0.625, 0.250)
Mo (0.875, 0.868, 0.750)
Mo (0.618, 0.125, 0.250)
Ni (0.500, 0.500, 0.000)
Ni (0.250, 0.750, 0.500)
Ge (0.750, 0.250, 0.500)
Ge (0.000, 0.000, 0.000)



(3)
The following is a PBE-GGA calculation of a relaxed Na3Si2Pt2 crystal, from Alexandria via LeMat-Bulk.

Final energy: -4.31 eV/atom
Space-group type: Pbcm
Spin magnetization: 0.00 μB/cell
DOS at the Fermi energy: 11.90 states/eV/cell
E_form (uncorrected): -470 meV per atom

Cell lengths 6.058, 7.619, 12.919 Å; angles 90.00, 90.00, 90.00 degrees
Fractional positions:
Si (0.807, 0.062, 0.750)
Si (0.452, 0.250, 0.500)
Si (0.452, 0.250, 0.000)
Si (0.193, 0.562, 0.750)
Si (0.193, 0.938, 0.250)
Si (0.807, 0.438, 0.250)
Si (0.548, 0.750, 0.500)
Si (0.548, 0.750, 0.000)
Pt (0.636, 0.015, 0.908)
Pt (0.636, 0.485, 0.408)
Pt (0.364, 0.515, 0.908)
Pt (0.364, 0.515, 0.592)
Pt (0.364, 0.985, 0.408)
Pt (0.636, 0.485, 0.092)
Pt (0.636, 0.015, 0.592)
Pt (0.364, 0.985, 0.092)
Na (0.884, 0.380, 0.602)
Na (0.116, 0.620, 0.102)
Na (0.116, 0.880, 0.898)
Na (0.116, 0.880, 0.602)
Na (0.116, 0.620, 0.398)
Na (0.656, 0.699, 0.750)
Na (0.344, 0.199, 0.750)
Na (0.344, 0.301, 0.250)
Na (0.656, 0.801, 0.250)
Na (0.884, 0.380, 0.898)
Na (0.884, 0.120, 0.398)
Na (0.884, 0.120, 0.102)



(4)
The following is a PBE-GGA calculation of a relaxed YTmAg crystal, from Alexandria via LeMat-Bulk.

Final energy: -4.67 eV/atom
Space-group type: R3m
Energy relative to the elements: -0.2 eV/f.u.
Spin magnetization: 0.00 μB/cell
DOS at the Fermi energy: 3.81 states/eV/cell

Cell lengths 3.659, 3.659, 7.533 Å; angles 75.94, 75.94, 60.00 degrees
Fractional positions:
Tm (0.539, 0.539, 0.382)
Y (0.338, 0.338, 0.987)
Ag (0.108, 0.108, 0.675)



(5)
The following is a PBE-GGA calculation of a relaxed AgTe2Cl crystal, from Alexandria via LeMat-Bulk.

Final energy: -2.74 eV/atom
Space-group type: P4/mmm
Spin magnetization: 0.00 μB/cell
DOS at the Fermi energy: 2.01 states/eV/cell
E_form (uncorrected): 10 meV per atom

Cell lengths 7.545, 4.139, 4.139 Å; angles 90.00, 90.00, 90.00 degrees
Fractional positions:
Te (0.000, 0.500, 0.500)
Te (0.000, 0.000, 0.000)
Cl (0.500, 0.000, 0.500)
Ag (0.500, 0.500, 0.000)



(6)
The following is a PBE-GGA calculation of a relaxed ScAlP2Cl crystal, from Alexandria via LeMat-Bulk.

Final energy: -4.57 eV/atom
Space-group type: P4/mmm
Spin magnetization: 0.00 μB/cell
DOS at the Fermi energy: 3.03 states/eV/cell
E_form (uncorrected): -22 meV per atom

Cell lengths 5.019, 5.019, 4.893 Å; angles 90.00, 90.00, 90.00 degrees
Fractional positions:
Sc (0.000, 0.000, 0.000)
Al (0.500, 0.500, 0.500)
Cl (0.000, 0.000, 0.500)
P (0.500, 0.000, 0.000)
P (0.000, 0.500, 0.000)



(7)
The following is a PBE-GGA calculation of a relaxed DyLuOsPd crystal, from Alexandria via LeMat-Bulk.

Final energy: -6.98 eV/atom
Space-group type: F-43m
Energy relative to the elements: -2.4 eV/f.u.
Spin magnetization: 0.00 μB/cell
DOS at the Fermi energy: 1.89 states/eV/cell

Cell lengths 4.824, 4.824, 4.824 Å; angles 60.00, 60.00, 60.00 degrees
Fractional positions:
Dy (0.250, 0.250, 0.250)
Os (0.500, 0.500, 0.500)
Pd (0.000, 0.000, 0.000)
Lu (0.750, 0.750, 0.750)



(8)
The following is a PBE-GGA calculation of a relaxed Li7Cd2Hg2 crystal, from Alexandria via LeMat-Bulk.

Final energy: -1.67 eV/atom
Space-group type: C2/m
Energy relative to the elements: -2.5 eV/f.u.
Spin magnetization: 0.00 μB/cell
DOS at the Fermi energy: 4.18 states/eV/cell

Cell lengths 5.652, 5.652, 6.975 Å; angles 98.26, 98.26, 97.30 degrees
Fractional positions:
Li (0.909, 0.503, 0.193)
Li (0.091, 0.497, 0.807)
Li (0.000, 0.000, 0.000)
Li (0.503, 0.909, 0.193)
Li (0.181, 0.181, 0.450)
Li (0.497, 0.091, 0.807)
Li (0.819, 0.819, 0.550)
Hg (0.714, 0.286, 0.500)
Hg (0.286, 0.714, 0.500)
Cd (0.390, 0.390, 0.149)
Cd (0.610, 0.610, 0.851)



(9)
The following is a PBE-GGA calculation of a relaxed Y2ZrW crystal, from Alexandria via LeMat-Bulk.

Final energy: -8.15 eV/atom
Space-group type: Cm
Energy relative to the elements: 1.8 eV/f.u.
Spin magnetization: 0.00 μB/cell
DOS at the Fermi energy: 4.86 states/eV/cell

Cell lengths 5.161, 5.161, 6.347 Å; angles 86.47, 86.47, 35.28 degrees
Fractional positions:
Zr (0.506, 0.506, 0.468)
W (0.249, 0.249, 0.278)
Y (0.991, 0.991, 0.032)
Y (0.754, 0.754, 0.722)



(10)
The following is a PBE-GGA calculation of a relaxed InSbHRh4 crystal, from Alexandria via LeMat-Bulk.

Final energy: -5.87 eV/atom
Space-group type: Cmcm
Spin magnetization: 0.00 μB/cell
DOS at the Fermi energy: 15.35 states/eV/cell

Cell lengths 5.563, 5.595, 7.263 Å; angles 90.00, 112.52, 90.00 degrees
Fractional positions:
Rh (0.920, 0.250, 0.840)
Rh (0.500, 0.500, 0.500)
Rh (0.000, 0.000, 0.500)
Rh (0.594, 0.250, 0.188)
Rh (0.500, 0.000, 0.500)
Rh (0.080, 0.750, 0.160)
Rh (0.406, 0.750, 0.812)
Rh (0.000, 0.500, 0.500)
H (0.249, 0.750, 0.498)
H (0.751, 0.250, 0.502)
In (0.603, 0.750, 0.205)
In (0.397, 0.250, 0.795)
Sb (0.889, 0.750, 0.777)
Sb (0.111, 0.250, 0.223)



(11)
The following is a PBE-GGA calculation of a relaxed DyTlN crystal, from Alexandria via LeMat-Bulk.

Final energy: -5.97 eV/atom
Space-group type: R-3m
Spin magnetization: 0.00 μB/cell
DOS at the Fermi energy: 3.44 states/eV/cell
E_form (uncorrected): -873 meV per atom

Cell lengths 3.931, 3.931, 10.866 Å; angles 79.58, 79.58, 60.00 degrees
Fractional positions:
Tl (0.793, 0.793, 0.621)
Tl (0.207, 0.207, 0.379)
Dy (0.372, 0.372, 0.884)
Dy (0.628, 0.628, 0.116)
N (0.300, 0.300, 0.099)
N (0.700, 0.700, 0.901)



(12)
The following is a PBE-GGA calculation of a relaxed Pm6Si2PI3 crystal, from Alexandria via LeMat-Bulk.

Final energy: -5.21 eV/atom
Space-group type: C2/m
Spin magnetization: 0.00 μB/cell
DOS at the Fermi energy: 4.99 states/eV/cell
E_form (uncorrected): -1093 meV per atom

Cell lengths 7.377, 7.377, 8.053 Å; angles 98.78, 98.78, 119.99 degrees
Fractional positions:
Si (0.667, 0.333, 0.000)
Si (0.333, 0.667, 0.000)
Pm (0.395, 0.064, 0.193)
Pm (0.734, 0.734, 0.194)
Pm (0.266, 0.266, 0.806)
Pm (0.605, 0.936, 0.807)
Pm (0.064, 0.395, 0.193)
Pm (0.936, 0.605, 0.807)
P (0.000, 0.000, 0.000)
I (0.832, 0.168, 0.500)
I (0.168, 0.832, 0.500)
I (0.500, 0.500, 0.500)



(13)
The following is a PBE-GGA calculation of a relaxed Ho4TmIn crystal, from Alexandria via LeMat-Bulk.

Final energy: -4.40 eV/atom
Space-group type: P4/mmm
Energy relative to the elements: -0.9 eV/f.u.
Spin magnetization: 0.00 μB/cell
DOS at the Fermi energy: 5.95 states/eV/cell

Cell lengths 3.535, 3.535, 14.167 Å; angles 90.00, 90.00, 90.00 degrees
Fractional positions:
Ho (0.000, 0.000, 0.649)
Ho (0.500, 0.500, 0.174)
Ho (0.500, 0.500, 0.826)
Ho (0.000, 0.000, 0.351)
In (0.500, 0.500, 0.500)
Tm (0.000, 0.000, 0.000)



(14)
The following is a PBE-GGA calculation of a relaxed P2ClF crystal, from Alexandria via LeMat-Bulk.

Final energy: -3.68 eV/atom
Space-group type: I-42d
Spin magnetization: 0.00 μB/cell
DOS at the Fermi energy: 0.00 states/eV/cell
E_form (uncorrected): -47 meV per atom

Cell lengths 3.933, 3.933, 8.794 Å; angles 77.08, 77.08, 90.00 degrees
Fractional positions:
Cl (0.000, 0.000, 0.000)
Cl (0.750, 0.250, 0.500)
F (0.500, 0.500, 0.000)
F (0.250, 0.750, 0.500)
P (0.194, 0.125, 0.250)
P (0.875, 0.444, 0.750)
P (0.556, 0.625, 0.250)
P (0.375, 0.806, 0.750)



(15)
The following is a PBE-GGA calculation of a relaxed Mn2TlSi crystal, from Alexandria via LeMat-Bulk.

Final energy: -5.82 eV/atom
Space-group type: I-42d
Spin magnetization: 0.00 μB/cell
DOS at the Fermi energy: 6.01 states/eV/cell
E_form (uncorrected): 711 meV per atom

Cell lengths 3.973, 3.973, 8.948 Å; angles 77.17, 77.17, 90.00 degrees
Fractional positions:
Mn (0.875, 0.750, 0.750)
Mn (0.500, 0.125, 0.250)
Mn (0.375, 0.500, 0.750)
Mn (0.250, 0.625, 0.250)
Si (0.250, 0.750, 0.500)
Si (0.500, 0.500, 0.000)
Tl (0.750, 0.250, 0.500)
Tl (0.000, 0.000, 0.000)



(16)
The following is a PBE-GGA calculation of a relaxed Ba2HSe crystal, from Alexandria via LeMat-Bulk.

Final energy: -3.60 eV/atom
Space-group type: Fm-3m
Spin magnetization: 0.00 μB/cell
DOS at the Fermi energy: 2.46 states/eV/cell

Cell lengths 5.435, 5.435, 5.435 Å; angles 60.00, 60.00, 60.00 degrees
Fractional positions:
Ba (0.250, 0.250, 0.250)
Ba (0.750, 0.750, 0.750)
Se (0.500, 0.500, 0.500)
H (0.000, 0.000, 0.000)



(17)
The following is a PBE-GGA calculation of a relaxed VZnH crystal, from Alexandria via LeMat-Bulk.

Final energy: -4.58 eV/atom
Space-group type: P1
Spin magnetization: 0.00 μB/cell
DOS at the Fermi energy: 2.70 states/eV/cell

Cell lengths 5.066, 4.581, 2.702 Å; angles 88.05, 84.63, 89.51 degrees
Fractional positions:
Zn (0.417, 0.798, 0.893)
Zn (0.900, 0.850, 0.677)
V (0.654, 0.324, 0.300)
V (0.154, 0.323, 0.807)
H (0.975, 0.484, 0.324)
H (0.334, 0.162, 0.288)



(18)
The following is a PBE-GGA calculation of a relaxed Tc2MoP crystal, from Alexandria via LeMat-Bulk.

Final energy: -9.45 eV/atom
Space-group type: P4mm
Energy relative to the elements: -0.8 eV/f.u.
Spin magnetization: 0.00 μB/cell
DOS at the Fermi energy: 1.68 states/eV/cell

Cell lengths 2.898, 2.898, 6.665 Å; angles 90.00, 90.00, 90.00 degrees
Fractional positions:
Mo (0.000, 0.000, 0.526)
P (0.500, 0.500, 0.758)
Tc (0.000, 0.000, 0.971)
Tc (0.500, 0.500, 0.245)



(19)
The following is a PBE-GGA calculation of a relaxed NdHo3Er3 crystal, from Alexandria via LeMat-Bulk.

Final energy: -4.48 eV/atom
Space-group type: Cm
Energy relative to the elements: 0.8 eV/f.u.
Spin magnetization: 0.00 μB/cell
DOS at the Fermi energy: 41.00 states/eV/cell

Cell lengths 17.618, 6.887, 11.457 Å; angles 91.42, 131.38, 111.01 degrees
Fractional positions:
Ho (0.506, 0.064, 0.781)
Ho (0.421, 0.492, 0.215)
Ho (0.993, 0.573, 0.396)
Ho (0.596, 0.177, 0.604)
Ho (0.359, 0.678, 0.414)
Ho (0.676, 0.978, 0.430)
Ho (0.945, 0.264, 0.586)
Ho (0.725, 0.283, 0.219)
Ho (0.786, 0.585, 0.000)
Ho (0.206, 0.276, 0.785)
Ho (0.471, 0.773, 0.000)
Ho (0.246, 0.548, 0.571)
Nd (0.299, 0.115, 0.313)
Nd (0.986, 0.802, 0.687)
Nd (0.780, 0.106, 0.000)
Nd (0.979, 0.030, 0.000)
Er (0.997, 0.065, 0.358)
Er (0.425, 0.985, 0.206)
Er (0.513, 0.560, 0.776)
Er (0.072, 0.614, 0.201)
Er (0.683, 0.491, 0.437)
Er (0.470, 0.281, 0.000)
Er (0.639, 0.707, 0.642)
Er (0.872, 0.413, 0.799)
Er (0.154, 0.525, 0.000)
Er (0.247, 0.055, 0.563)
Er (0.737, 0.784, 0.224)
Er (0.219, 0.779, 0.794)



(20)
The following is a PBE-GGA calculation of a relaxed KErMgCl6 crystal, from Alexandria via LeMat-Bulk.

Final energy: -4.14 eV/atom
Space-group type: P-31c
Spin magnetization: 0.00 μB/cell
DOS at the Fermi energy: 0.00 states/eV/cell
E_form (uncorrected): -2103 meV per atom

Cell lengths 6.737, 6.737, 13.897 Å; angles 90.00, 90.00, 120.00 degrees
Fractional positions:
Er (0.333, 0.667, 0.750)
Er (0.667, 0.333, 0.250)
Cl (0.622, 0.989, 0.356)
Cl (0.633, 0.622, 0.644)
Cl (0.633, 0.011, 0.856)
Cl (0.378, 0.011, 0.644)
Cl (0.989, 0.622, 0.856)
Cl (0.622, 0.633, 0.144)
Cl (0.378, 0.367, 0.856)
Cl (0.989, 0.367, 0.644)
Cl (0.367, 0.378, 0.356)
Cl (0.011, 0.633, 0.356)
Cl (0.367, 0.989, 0.144)
Cl (0.011, 0.378, 0.144)
Mg (0.333, 0.667, 0.250)
Mg (0.667, 0.333, 0.750)
K (0.000, 0.000, 0.000)
K (0.000, 0.000, 0.500)